First-principles (PBE) data for AgSnHgS4 after structural relaxation, as listed in Alexandria.

Results
**E**: -3.489 eV/atom
**Calculated volume**: 329.8 Å³ per cell
**Total magnetization**: 0.000 μB/f.u.

Unit cell a=7.494 b=7.879 c=7.879 alpha=57.56 beta=61.60 gamma=61.60
Sites, in units of the cell vectors:
1 S 0.747 0.238 0.268
2 S 0.253 0.762 0.732
3 S 0.747 0.768 0.738
4 S 0.742 0.772 0.272
5 S 0.253 0.232 0.262
6 S 0.214 0.772 0.272
7 S 0.786 0.228 0.728
8 S 0.258 0.228 0.728
9 Ag 0.390 0.360 0.860
10 Ag 0.610 0.640 0.140
11 Sn 0.000 0.000 0.500
12 Sn 0.500 0.000 0.500
13 Hg 0.000 0.000 0.000
14 Hg 0.000 0.500 0.500

---

First-principles (PBE) data for Ag2SnHgS4 after structural relaxation, as listed in Alexandria.

Results
**E**: -3.536 eV/atom
**Calculated volume**: 203.1 Å³ per cell
**Total magnetization**: 0.000 μB/f.u.

Unit cell a=5.829 b=5.829 c=7.260 alpha=113.65 beta=113.65 gamma=90.05
Sites, in units of the cell vectors:
1 Sn 0.500 0.500 0.000
2 S 0.614 0.614 0.753
3 S 0.139 0.139 0.753
4 S 0.386 0.861 0.247
5 S 0.861 0.386 0.247
6 Ag 0.250 0.750 0.500
7 Ag 0.750 0.250 0.500
8 Hg 0.000 0.000 0.000

---

First-principles (PBE) data for Tc2AgHgS after structural relaxation, as listed in Alexandria.

Results
**E**: -4.785 eV/atom
**Calculated volume**: 98.4 Å³ per cell
**Total magnetization**: 2.826 μB/f.u.

Unit cell a=4.393 b=5.097 c=4.393 alpha=90.00 beta=90.00 gamma=90.00
Each line ends with the local moment (μB).
Sites, in units of the cell vectors:
1 Hg 0.000 0.500 0.000  0.01
2 Ag 0.500 0.500 0.500  0.01
3 Tc 0.500 0.000 0.000  1.42
4 Tc 0.000 0.000 0.500  1.21
5 S 0.000 0.000 0.000  -0.05